# 1
The following is a GGA-PBE calculation of a geometry-optimized NpTi2Rh structure, from the Alexandria database.

The offset from the most stable computed form is 8.97 kJ/mol of atoms. Its energy of formation from the pure elements is -54 kJ/mol of formula units. Its density of states at the Fermi level is 6.14 states/eV/f.u. The final energy is -0.673 Ry per atom.

The space group is P4/mmm (No. 123) and the conventional cell measures 4.722, 4.722 and 2.974 Å, with angles of 90.00, 90.00 and 90.00 degrees. The asymmetric unit holds Np at (0.000, 0.000, 0.000), Ti at (0.000, 0.500, 0.500) and Rh at (0.500, 0.500, 0.000).

---

# 2
The following is a GGA-PBE calculation of a geometry-optimized Np4TiRh15 structure, from the Alexandria database.

Its energy of formation from the pure elements is -859 kJ/mol of formula units. Its density of states at the Fermi level is 43.52 states/eV/f.u. The final energy is -0.657 Ry per atom.

The space group is P4/mmm (No. 123) and the conventional cell measures 3.988, 3.988 and 19.975 Å, with angles of 90.00, 90.00 and 90.00 degrees. The asymmetric unit holds Np at (0.000, 0.000, 0.102), Np at (0.000, 0.000, 0.304), Ti at (0.000, 0.000, 0.500), Rh at (0.000, 0.500, 0.000), Rh at (0.000, 0.500, 0.204), Rh at (0.000, 0.500, 0.406), Rh at (0.500, 0.500, 0.102), Rh at (0.500, 0.500, 0.306) and Rh at (0.500, 0.500, 0.500).

---

# 3
The following is a GGA-PBE calculation of a geometry-optimized NpTi2Rh structure, from the Alexandria database.

The offset from the most stable computed form is 0.00 kJ/mol of atoms. Its energy of formation from the pure elements is -90 kJ/mol of formula units. Its density of states at the Fermi level is 6.19 states/eV/f.u. The final energy is -0.680 Ry per atom.

The space group is P4/mmm (No. 123) and the conventional cell measures 3.029, 3.029 and 7.473 Å, with angles of 90.00, 90.00 and 90.00 degrees. The asymmetric unit holds Np at (0.000, 0.000, 0.000), Ti at (0.500, 0.500, 0.282) and Rh at (0.000, 0.000, 0.500).

---

# 4
The following is a GGA-PBE calculation of a geometry-optimized NpTlRh structure, from the Alexandria database.

Its energy of formation from the pure elements is 44 kJ/mol of formula units. Its density of states at the Fermi level is 4.00 states/eV/f.u. The final energy is -0.544 Ry per atom.

The space group is P4_2/m (No. 84) and the conventional cell measures 9.449, 9.449 and 3.269 Å, with angles of 90.00, 90.00 and 90.00 degrees. The asymmetric unit holds Np at (0.050, 0.844, 0.000), Tl at (0.161, 0.410, 0.500) and Rh at (0.198, 0.697, 0.500).

---

# 5
The following is a GGA-PBE calculation of a geometry-optimized NpTlRh2 structure, from the Alexandria database.

Its energy of formation from the pure elements is -3 kJ/mol of formula units. Its density of states at the Fermi level is 6.28 states/eV/f.u. The final energy is -0.552 Ry per atom.

The space group is R-3m (No. 166, hexagonal axes) and the conventional cell measures 3.7393, 3.7393 and 20.8834 Å, with angles of 90.00, 90.00 and 120.00 degrees. The asymmetric unit holds Np at (0.0000, 0.0000, 0.0000), Tl at (0.0000, 0.0000, 0.5000) and Rh at (0.0000, 0.0000, 0.2577).

---

# 6
The following is a GGA-PBE calculation of a geometry-optimized NpTlRh2 structure, from the Alexandria database.

Its energy of formation from the pure elements is -32 kJ/mol of formula units. Its density of states at the Fermi level is 8.49 states/eV/f.u. The final energy is -0.557 Ry per atom.

The space group is P4/mmm (No. 123) and the conventional cell measures 3.458, 3.458 and 6.468 Å, with angles of 90.00, 90.00 and 90.00 degrees. The asymmetric unit holds Np at (0.000, 0.000, 0.000), Tl at (0.000, 0.000, 0.500) and Rh at (0.500, 0.500, 0.238).

---

# 7
The following is a GGA-PBE calculation of a geometry-optimized NpTlRh2 structure, from the Alexandria database.

Its energy of formation from the pure elements is -50 kJ/mol of formula units. Its density of states at the Fermi level is 5.99 states/eV/f.u. The final energy is -0.561 Ry per atom.

The space group is P4/mmm (No. 123) and the conventional cell measures 4.601, 4.601 and 3.599 Å, with angles of 90.00, 90.00 and 90.00 degrees. The asymmetric unit holds Np at (0.000, 0.000, 0.000), Tl at (0.500, 0.500, 0.000) and Rh at (0.000, 0.500, 0.500).

---

# 8
The following is a GGA-PBE calculation of a geometry-optimized NpTlRh4 structure, from the Alexandria database.

Its energy of formation from the pure elements is -107 kJ/mol of formula units. Its density of states at the Fermi level is 8.16 states/eV/f.u. The final energy is -0.561 Ry per atom.

The space group is F-43m (No. 216) and the conventional cell measures 7.494, 7.494 and 7.494 Å, with angles of 90.00, 90.00 and 90.00 degrees. The asymmetric unit holds Np at (0.000, 0.000, 0.000), Tl at (0.250, 0.250, 0.250) and Rh at (0.124, 0.124, 0.624).

---

# 9
The following is a GGA-PBE calculation of a geometry-optimized TmNpRh14 structure, from the Alexandria database.

Its energy of formation from the pure elements is -314 kJ/mol of formula units. Its density of states at the Fermi level is 25.28 states/eV/f.u. The final energy is -0.568 Ry per atom.

The space group is P4/mmm (No. 123) and the conventional cell measures 5.550, 5.550 and 7.899 Å, with angles of 90.00, 90.00 and 90.00 degrees. The asymmetric unit holds Tm at (0.000, 0.000, 0.000), Np at (0.500, 0.500, 0.000), Rh at (0.000, 0.000, 0.500), Rh at (0.000, 0.500, 0.000), Rh at (0.000, 0.500, 0.500), Rh at (0.254, 0.254, 0.261) and Rh at (0.500, 0.500, 0.500).

---

# 10
The following is a GGA-PBE calculation of a geometry-optimized TmNpRh4 structure, from the Alexandria database.

The offset from the most stable computed form is 0.00 kJ/mol of atoms. Its energy of formation from the pure elements is -304 kJ/mol of formula units. Its density of states at the Fermi level is 10.04 states/eV/f.u. The final energy is -0.612 Ry per atom.

The space group is F-43m (No. 216) and the conventional cell measures 7.508, 7.508 and 7.508 Å, with angles of 90.00, 90.00 and 90.00 degrees. The asymmetric unit holds Tm at (0.000, 0.000, 0.000), Np at (0.250, 0.250, 0.250) and Rh at (0.125, 0.125, 0.625).

---

# 11
The following is a GGA-PBE calculation of a geometry-optimized TmNpRh4 structure, from the Alexandria database.

The offset from the most stable computed form is 13.83 kJ/mol of atoms. Its energy of formation from the pure elements is -221 kJ/mol of formula units. Its density of states at the Fermi level is 9.60 states/eV/f.u. The final energy is -0.602 Ry per atom.

The space group is C2/m (No. 12) and the conventional cell measures 9.488, 3.392 and 6.963 Å, with angles of 90.00, 108.90 and 90.00 degrees. The asymmetric unit holds Tm at (0.000, 0.000, 0.000), Np at (0.000, 0.000, 0.500), Rh at (0.150, 0.500, 0.352) and Rh at (0.174, 0.500, 0.812).

---

# 12
The following is a GGA-PBE calculation of a geometry-optimized Tm2NpZn2Rh5 structure, from the Alexandria database.

Its energy of formation from the pure elements is -616 kJ/mol of formula units. Its density of states at the Fermi level is 11.79 states/eV/f.u. The final energy is -0.497 Ry per atom.

The space group is P4/mbm (No. 127) and the conventional cell measures 9.719, 9.719 and 3.677 Å, with angles of 90.00, 90.00 and 90.00 degrees. The asymmetric unit holds Tm at (0.169, 0.331, 0.000), Np at (0.000, 0.000, 0.000), Zn at (0.126, 0.626, 0.000), Rh at (0.000, 0.500, 0.500) and Rh at (0.070, 0.799, 0.500).